Record 1
This record from Alexandria via LeMat-Bulk describes AgP after structural relaxation. The functional is PBE.

a b c (Å): 5.734 6.672 8.514
angles (deg): 90.00 90.00 90.00
Element x y z (fractional)
Ag: 0.041 0.164 0.452
Ag: 0.221 0.590 0.355
Ag: 0.279 0.410 0.855
Ag: 0.459 0.836 0.952
Ag: 0.541 0.336 0.548
Ag: 0.721 0.910 0.645
Ag: 0.779 0.090 0.145
Ag: 0.959 0.664 0.048
P: 0.098 0.770 0.780
P: 0.126 0.315 0.127
P: 0.374 0.685 0.627
P: 0.402 0.230 0.280
P: 0.598 0.730 0.220
P: 0.626 0.185 0.873
P: 0.874 0.815 0.373
P: 0.902 0.270 0.720

Results
Its space group is P2_12_12_1. The formation enthalpy at 0 K comes out at 0.27 eV/atom.

***

Record 2
This record from Alexandria via LeMat-Bulk describes AgP after structural relaxation. The functional is PBE.

a b c (Å): 3.246 3.246 3.246
angles (deg): 90.00 90.00 90.00
Element x y z (fractional)
Ag: 0.000 0.000 0.000
P: 0.500 0.500 0.500

Results
Its space group is Pm-3m. The formation enthalpy at 0 K comes out at 0.53 eV/atom.

***

Record 3
This record from Alexandria via LeMat-Bulk describes AgP after structural relaxation. The functional is PBE.

a b c (Å): 4.308 10.691 3.292
angles (deg): 90.00 90.00 90.00
Element x y z (fractional)
Ag: 0.000 0.186 0.250
Ag: 0.000 0.814 0.750
Ag: 0.500 0.314 0.750
Ag: 0.500 0.686 0.250
P: 0.000 0.431 0.750
P: 0.000 0.569 0.250
P: 0.500 0.069 0.250
P: 0.500 0.931 0.750

Results
Its space group is Cmcm. The formation enthalpy at 0 K comes out at 0.12 eV/atom.

***

Record 4
This record from Alexandria via LeMat-Bulk describes AgP after structural relaxation. The functional is PBE.

a b c (Å): 5.636 5.636 5.636
angles (deg): 90.00 90.00 90.00
Element x y z (fractional)
Ag: 0.000 0.000 0.000
Ag: 0.000 0.500 0.500
Ag: 0.500 0.000 0.500
Ag: 0.500 0.500 0.000
P: 0.250 0.250 0.250
P: 0.250 0.750 0.750
P: 0.750 0.250 0.750
P: 0.750 0.750 0.250

Results
Its space group is F-43m. The formation enthalpy at 0 K comes out at 0.61 eV/atom.